ZrZnTe: optimized geometry, GGA-PBE.

Calculated values
Total DFT energy (no corrections): -4.184 eV per atom
Volume: 77.0 Å³/cell

a b c (Å): 4.776 4.776 4.776
angles (deg): 60.00 60.00 60.00
Element x y z (fractional)
Zr (0.000, 0.000, 0.000)
Zn (0.500, 0.500, 0.500)
Te (0.750, 0.750, 0.750)